(1)
## SrZn3F (GGA-PBE)

Data for crystalline SrZn3F at its relaxed geometry.

Summary:
- ΔE to the lowest computed polymorph: 0 meV/atom
- Raw formation energy: -430 meV per atom

Cell: 4.878 4.878 4.878 Å, 90.00 90.00 90.00°
Space group Pm-3m (No. 221)
Asymmetric unit:
Sr 0.000 0.000 0.000
Zn 0.000 0.500 0.500
F 0.500 0.500 0.500



(2)
## LiRhSe2 (GGA-PBE)

Data for crystalline LiRhSe2 at its relaxed geometry.

Summary:
- Raw formation energy: -358 meV per atom

Cell: 3.658 5.786 7.232 Å, 90.00 90.00 90.00°
Space group Immm (No. 71)
Asymmetric unit:
Li 0.000 0.000 0.000
Rh 0.000 0.000 0.500
Se 0.000 0.500 0.225



(3)
## ZrZnCr2 (GGA-PBE)

Data for crystalline ZrZnCr2 at its relaxed geometry.

Summary:
- Calculated formation energy: 180.7 meV/atom

Cell: 2.731 3.897 5.770 Å, 90.00 100.50 90.00°
Space group Pm (No. 6)
Asymmetric unit:
Zr 0.000 0.000 0.000
Zn 0.396 0.500 0.700
Cr 0.559 0.500 0.281
Cr 0.871 0.000 0.462



(4)
## TlAuI2Br6 (GGA-PBE)

Data for crystalline TlAuI2Br6 at its relaxed geometry.

Summary:
- Raw formation energy: -242 meV per atom

Cell: 5.708 7.611 10.535 Å, 107.49 94.02 103.97°
Space group P1 (No. 1)
Asymmetric unit:
Tl 0.000 0.000 0.000
Au 0.999 0.500 0.501
I 0.284 0.733 0.177
I 0.715 0.267 0.825
Br 0.151 0.792 0.436
Br 0.206 0.305 0.338
Br 0.410 0.713 0.937
Br 0.589 0.287 0.064
Br 0.792 0.695 0.663
Br 0.847 0.208 0.565



(5)
## ThPa2Bi (GGA-PBE)

Data for crystalline ThPa2Bi at its relaxed geometry.

Summary:
- Calculated formation energy: 39.5 meV/atom
- ΔE to the lowest computed polymorph: 114 meV/atom

Cell: 4.170 4.170 6.709 Å, 90.00 90.00 90.00°
Space group P4/mmm (No. 123)
Asymmetric unit:
Th 0.000 0.000 0.000
Pa 0.500 0.500 0.296
Bi 0.000 0.000 0.500



(6)
## BeCdPt3 (GGA-PBE)

Data for crystalline BeCdPt3 at its relaxed geometry.

Summary:
- Calculated formation energy: -70.9 meV/atom
- ΔE to the lowest computed polymorph: 367 meV/atom

Cell: 7.4786 7.4786 9.5540 Å, 90.00 90.00 120.00°
Space group R-3c (No. 167, hexagonal axes)
Asymmetric unit:
Be 0.0000 0.0000 0.2500
Cd 0.0000 0.0000 0.0000
Pt 0.0000 0.2972 0.2500